1.
The following is a DFT calculation (PBE) of a geometry-optimized RbBa3Hg structure.

DOS(E_F) = 6.64 states/eV per cell
calculated volume = 72.0 Å³ per atom
SG = Pm-3m (221)
uncorrected energy = -0.75 eV per atom
DFT formation energy = 0.659 eV per atom

Lattice parameters (Å, degrees): 7.1130 7.1130 7.1130 90.00 90.00 90.00
Last column: nearest neighbours and their distance in Å.
Atoms (fractional coordinates):
Hg  0.5000  0.5000  0.5000  12 Ba 5.03
Rb  0.0000  0.0000  0.0000  6 Ba 3.56
Ba  0.0000  0.5000  0.0000  2 Rb 3.56
Ba  0.0000  0.0000  0.5000  2 Rb 3.56
Ba  0.5000  0.0000  0.0000  2 Rb 3.56

***

2.
The following is a DFT calculation (PBE) of a geometry-optimized HoSc2GaN structure.

DOS(E_F) = 2.58 states/eV per cell
calculated volume = 18.3 Å³ per atom
SG = P4/mmm (123)
raw formation energy = -1086 meV per atom
uncorrected energy = -6.80 eV per atom

Lattice parameters (Å, degrees): 4.6850 4.4239 4.4239 90.00 90.00 90.00
Last column: nearest neighbours and their distance in Å.
Atoms (fractional coordinates):
Ho  0.5000  0.0000  0.0000  2 N 2.34
Sc  0.0000  0.0000  0.5000  2 N 2.21
Sc  0.0000  0.5000  0.0000  2 N 2.21
Ga  0.5000  0.5000  0.5000  4 Ho 3.13, 8 Sc 3.22
N  0.0000  0.0000  0.0000  4 Sc 2.21, 2 Ho 2.34

***

3.
The following is a DFT calculation (PBE) of a geometry-optimized PuUN2 structure.

DOS(E_F) = 10.31 states/eV per cell
calculated volume = 15.1 Å³ per atom
SG = R3m (160)
raw formation energy = -1102 meV per atom
uncorrected energy = -11.67 eV per atom

Lattice parameters (Å, degrees): 3.4667 3.4667 6.1428 73.61 73.61 60.00
Last column: nearest neighbours and their distance in Å.
Atoms (fractional coordinates):
Pu  0.4953  0.4953  0.5142  6 N 2.50-2.64
U  0.6679  0.6679  0.9964  6 N 2.38-2.39
N  0.0757  0.0757  0.7728  3 U 2.39, 3 Pu 2.50
N  0.2611  0.2611  0.2167  3 U 2.38, 3 Pu 2.64